No. 1
The following is a DFT calculation (PBE) of an optimized crystal structure of SrPuAg2Cl8.

## Properties
* total magnetic moment: 3.974 μB/f.u.
* DOS(E_F): 6.5 states/eV/f.u.

```
data_SrPuAg2Cl8
_cell_length_a 6.488
_cell_length_b 6.637
_cell_length_c 8.577
_cell_angle_alpha 93.71
_cell_angle_beta 95.82
_cell_angle_gamma 92.51
_space_group_name_H-M_alt 'P -1'
_space_group_IT_number 2
_space_group_name_Hall '-P 1'
loop_
_atom_site_label
_atom_site_type_symbol
_atom_site_fract_x
_atom_site_fract_y
_atom_site_fract_z
Sr1 Sr 0.000 0.000 0.000
Pu1 Pu 0.000 0.000 0.500
Ag1 Ag 0.446 0.470 0.775
Cl1 Cl 0.211 0.836 0.283
Cl2 Cl 0.222 0.846 0.734
Cl3 Cl 0.256 0.316 0.521
Cl4 Cl 0.276 0.349 0.029
```

***

No. 2
The following is a DFT calculation (PBE) of an optimized crystal structure of SrPuAgCl6.

## Properties
* total magnetic moment: 5.000 μB/f.u.
* DOS(E_F): 11.0 states/eV/f.u.

```
data_SrPuAgCl6
_cell_length_a 7.2360
_cell_length_b 7.2360
_cell_length_c 11.9020
_cell_angle_alpha 90.00
_cell_angle_beta 90.00
_cell_angle_gamma 120.00
_space_group_name_H-M_alt 'P -3 1 c'
_space_group_IT_number 163
_space_group_name_Hall '-P 3 2c'
loop_
_atom_site_label
_atom_site_type_symbol
_atom_site_fract_x
_atom_site_fract_y
_atom_site_fract_z
Sr1 Sr 0.3333 0.6667 0.2500
Pu1 Pu 0.3333 0.6667 0.7500
Ag1 Ag 0.0000 0.0000 0.0000
Cl1 Cl 0.0193 0.3457 0.6259
```

***

One value per record, in order, for uncorrected energy: -53.78; -45.50 eV per formula unit.
One value per record, in order, for formation energy (no corrections): -1.4410; -1.7280 eV per atom.